# Al6Ga12Cu | Alexandria via LeMat-Bulk | PBE-GGA | relaxed
# **Energy relative to the elements**: 1.00 eV per formula unit
data_Al6Ga12Cu
_chemical_formula_sum 'Al18 Ga36 Cu3'
_symmetry_space_group_name_H-M 'R -3'
_symmetry_Int_Tables_number 148
_symmetry_space_group_name_Hall '-R 3'
_cell_length_a 9.8495
_cell_length_b 9.8495
_cell_length_c 12.1972
_cell_angle_alpha 90.00
_cell_angle_beta 90.00
_cell_angle_gamma 120.00
loop_
_atom_site_label
_atom_site_type_symbol
_atom_site_fract_x
_atom_site_fract_y
_atom_site_fract_z
Al1 Al 0.0325 0.4472 0.2067
Ga1 Ga 0.0421 0.1840 0.3127
Ga2 Ga 0.0665 0.8507 0.9107
Cu1 Cu 0.0000 0.0000 0.5000

---

# AlGaCu4 | Alexandria via LeMat-Bulk | PBE-GGA | relaxed
# **Energy relative to the elements**: -0.21 eV per formula unit
data_AlGaCu4
_chemical_formula_sum 'Al2 Ga2 Cu8'
_symmetry_space_group_name_H-M 'C 1 2/m 1'
_symmetry_Int_Tables_number 12
_cell_length_a 8.299
_cell_length_b 2.684
_cell_length_c 8.343
_cell_angle_alpha 90.00
_cell_angle_beta 118.34
_cell_angle_gamma 90.00
loop_
_symmetry_equiv_pos_as_xyz
'x,y,z'
'-x,-y,-z'
'-x,y,-z'
'x,-y,z'
'x+1/2,y+1/2,z'
'-x+1/2,-y+1/2,-z'
'-x+1/2,y+1/2,-z'
'x+1/2,-y+1/2,z'
loop_
_atom_site_label
_atom_site_type_symbol
_atom_site_fract_x
_atom_site_fract_y
_atom_site_fract_z
Al1 Al 0.000 0.000 0.000
Ga1 Ga 0.000 0.500 0.500
Cu1 Cu 0.152 0.500 0.848
Cu2 Cu 0.155 0.000 0.345

---

# Al2GaCu | Alexandria via LeMat-Bulk | PBE-GGA | relaxed
# **Energy relative to the elements**: -0.29 eV per formula unit
data_Al2GaCu
_chemical_formula_sum 'Al2 Ga1 Cu1'
_symmetry_space_group_name_H-M 'P 4/m m m'
_symmetry_Int_Tables_number 123
_symmetry_space_group_name_Hall '-P 4 2'
_cell_length_a 2.833
_cell_length_b 2.833
_cell_length_c 7.721
_cell_angle_alpha 90.00
_cell_angle_beta 90.00
_cell_angle_gamma 90.00
loop_
_atom_site_label
_atom_site_type_symbol
_atom_site_fract_x
_atom_site_fract_y
_atom_site_fract_z
Al1 Al 0.000 0.000 0.216
Ga1 Ga 0.500 0.500 0.500
Cu1 Cu 0.500 0.500 0.000

---

# AlGa3Cu | Alexandria via LeMat-Bulk | PBE-GGA | relaxed
# **Energy relative to the elements**: 0.09 eV per formula unit
# **Relative energy among the computed polymorphs**: 0.000 eV per atom
data_AlGa3Cu
_chemical_formula_sum 'Al4 Ga12 Cu4'
_symmetry_space_group_name_H-M 'C 1 2/m 1'
_symmetry_Int_Tables_number 12
_cell_length_a 9.154
_cell_length_b 7.861
_cell_length_c 6.096
_cell_angle_alpha 90.00
_cell_angle_beta 125.63
_cell_angle_gamma 90.00
loop_
_symmetry_equiv_pos_as_xyz
'x,y,z'
'-x,-y,-z'
'-x,y,-z'
'x,-y,z'
'x+1/2,y+1/2,z'
'-x+1/2,-y+1/2,-z'
'-x+1/2,y+1/2,-z'
'x+1/2,-y+1/2,z'
loop_
_atom_site_label
_atom_site_type_symbol
_atom_site_fract_x
_atom_site_fract_y
_atom_site_fract_z
Al1 Al 0.065 0.000 0.275
Ga1 Ga 0.078 0.500 0.330
Ga2 Ga 0.192 0.205 0.722
Cu1 Cu 0.246 0.500 0.896

---

# Al2GaCu2 | Alexandria via LeMat-Bulk | PBE-GGA | relaxed
# **Energy relative to the elements**: 0.29 eV per formula unit
# **Relative energy among the computed polymorphs**: 0.193 eV per atom
data_Al2GaCu2
_chemical_formula_sum 'Al4 Ga2 Cu4'
_symmetry_space_group_name_H-M 'I 4/m m m'
_symmetry_Int_Tables_number 139
_symmetry_space_group_name_Hall '-I 4 2'
_cell_length_a 3.593
_cell_length_b 3.593
_cell_length_c 12.360
_cell_angle_alpha 90.00
_cell_angle_beta 90.00
_cell_angle_gamma 90.00
loop_
_atom_site_label
_atom_site_type_symbol
_atom_site_fract_x
_atom_site_fract_y
_atom_site_fract_z
Al1 Al 0.000 0.000 0.104
Ga1 Ga 0.000 0.000 0.500
Cu1 Cu 0.000 0.500 0.250

---

# Al4GaCu7 | Alexandria via LeMat-Bulk | PBE-GGA | relaxed
# **Energy relative to the elements**: -2.03 eV per formula unit
# **Relative energy among the computed polymorphs**: 0.000 eV per atom
data_Al4GaCu7
_chemical_formula_sum 'Al4 Ga1 Cu7'
_symmetry_space_group_name_H-M 'P -1'
_symmetry_Int_Tables_number 2
_cell_length_a 4.649
_cell_length_b 5.277
_cell_length_c 6.610
_cell_angle_alpha 90.97
_cell_angle_beta 103.21
_cell_angle_gamma 90.31
loop_
_symmetry_equiv_pos_as_xyz
'x,y,z'
'-x,-y,-z'
loop_
_atom_site_label
_atom_site_type_symbol
_atom_site_fract_x
_atom_site_fract_y
_atom_site_fract_z
Al1 Al 0.206 0.227 0.163
Al2 Al 0.275 0.492 0.818
Ga1 Ga 0.500 0.000 0.500
Cu1 Cu 0.002 0.751 0.501
Cu2 Cu 0.225 0.732 0.162
Cu3 Cu 0.285 0.997 0.835
Cu4 Cu 0.500 0.500 0.500

---

# AlGa2Cu5 | Alexandria via LeMat-Bulk | PBE-GGA | relaxed
# **Energy relative to the elements**: 3.59 eV per formula unit
# **Relative energy among the computed polymorphs**: 0.543 eV per atom
data_AlGa2Cu5
_chemical_formula_sum 'Al1 Ga2 Cu5'
_symmetry_space_group_name_H-M 'P 4/m m m'
_symmetry_Int_Tables_number 123
_symmetry_space_group_name_Hall '-P 4 2'
_cell_length_a 5.590
_cell_length_b 5.590
_cell_length_c 4.392
_cell_angle_alpha 90.00
_cell_angle_beta 90.00
_cell_angle_gamma 90.00
loop_
_atom_site_label
_atom_site_type_symbol
_atom_site_fract_x
_atom_site_fract_y
_atom_site_fract_z
Al1 Al 0.000 0.000 0.000
Ga1 Ga 0.000 0.500 0.500
Cu1 Cu 0.000 0.000 0.500
Cu2 Cu 0.290 0.290 0.000

---

# Al2GaCu9 | Alexandria via LeMat-Bulk | PBE-GGA | relaxed
# **Energy relative to the elements**: -1.91 eV per formula unit
data_Al2GaCu9
_chemical_formula_sum 'Al2 Ga1 Cu9'
_symmetry_space_group_name_H-M 'P 4/m m m'
_symmetry_Int_Tables_number 123
_symmetry_space_group_name_Hall '-P 4 2'
_cell_length_a 3.687
_cell_length_b 3.687
_cell_length_c 11.068
_cell_angle_alpha 90.00
_cell_angle_beta 90.00
_cell_angle_gamma 90.00
loop_
_atom_site_label
_atom_site_type_symbol
_atom_site_fract_x
_atom_site_fract_y
_atom_site_fract_z
Al1 Al 0.000 0.000 0.166
Ga1 Ga 0.000 0.000 0.500
Cu1 Cu 0.000 0.500 0.000
Cu2 Cu 0.000 0.500 0.332
Cu3 Cu 0.500 0.500 0.166
Cu4 Cu 0.500 0.500 0.500

---

# Al2GaCu2 | Alexandria via LeMat-Bulk | PBE-GGA | relaxed
# **Energy relative to the elements**: -0.36 eV per formula unit
# **Relative energy among the computed polymorphs**: 0.064 eV per atom
data_Al2GaCu2
_chemical_formula_sum 'Al4 Ga2 Cu4'
_symmetry_space_group_name_H-M 'P 4/m b m'
_symmetry_Int_Tables_number 127
_symmetry_space_group_name_Hall '-P 4 2ab'
_cell_length_a 7.438
_cell_length_b 7.438
_cell_length_c 2.686
_cell_angle_alpha 90.00
_cell_angle_beta 90.00
_cell_angle_gamma 90.00
loop_
_atom_site_label
_atom_site_type_symbol
_atom_site_fract_x
_atom_site_fract_y
_atom_site_fract_z
Al1 Al 0.174 0.326 0.000
Ga1 Ga 0.000 0.000 0.500
Cu1 Cu 0.123 0.623 0.500

---

# AlGaCu6 | Alexandria via LeMat-Bulk | PBE-GGA | relaxed
# **Energy relative to the elements**: -1.08 eV per formula unit
data_AlGaCu6
_chemical_formula_sum 'Al1 Ga1 Cu6'
_symmetry_space_group_name_H-M 'P -6 m 2'
_symmetry_Int_Tables_number 187
_symmetry_space_group_name_Hall 'P -6 2'
_cell_length_a 5.2351
_cell_length_b 5.2351
_cell_length_c 4.2339
_cell_angle_alpha 90.00
_cell_angle_beta 90.00
_cell_angle_gamma 120.00
loop_
_atom_site_label
_atom_site_type_symbol
_atom_site_fract_x
_atom_site_fract_y
_atom_site_fract_z
Al1 Al 0.0000 0.0000 0.0000
Ga1 Ga 0.6667 0.3333 0.5000
Cu1 Cu 0.0036 0.5018 0.0000
Cu2 Cu 0.1671 0.3342 0.5000

---

# Al4GaCu | Alexandria via LeMat-Bulk | PBE-GGA | relaxed
# **Energy relative to the elements**: -0.34 eV per formula unit
# **Relative energy among the computed polymorphs**: 0.000 eV per atom
data_Al4GaCu
_chemical_formula_sum 'Al16 Ga4 Cu4'
_symmetry_space_group_name_H-M 'C 1 2/c 1'
_symmetry_Int_Tables_number 15
_cell_length_a 8.468
_cell_length_b 11.679
_cell_length_c 5.951
_cell_angle_alpha 90.00
_cell_angle_beta 134.33
_cell_angle_gamma 90.00
loop_
_symmetry_equiv_pos_as_xyz
'x,y,z'
'-x,-y,-z'
'-x,y,-z+1/2'
'x,-y,z+1/2'
'x+1/2,y+1/2,z'
'-x+1/2,-y+1/2,-z'
'-x+1/2,y+1/2,-z+1/2'
'x+1/2,-y+1/2,z+1/2'
loop_
_atom_site_label
_atom_site_type_symbol
_atom_site_fract_x
_atom_site_fract_y
_atom_site_fract_z
Al1 Al 0.231 0.001 0.231
Al2 Al 0.250 0.249 0.234
Ga1 Ga 0.000 0.376 0.250
Cu1 Cu 0.000 0.126 0.750

---

# AlGa2Cu2 | Alexandria via LeMat-Bulk | PBE-GGA | relaxed
# **Energy relative to the elements**: 0.40 eV per formula unit
# **Relative energy among the computed polymorphs**: 0.181 eV per atom
data_AlGa2Cu2
_chemical_formula_sum 'Al2 Ga4 Cu4'
_symmetry_space_group_name_H-M 'I 4/m m m'
_symmetry_Int_Tables_number 139
_symmetry_space_group_name_Hall '-I 4 2'
_cell_length_a 3.646
_cell_length_b 3.646
_cell_length_c 11.909
_cell_angle_alpha 90.00
_cell_angle_beta 90.00
_cell_angle_gamma 90.00
loop_
_atom_site_label
_atom_site_type_symbol
_atom_site_fract_x
_atom_site_fract_y
_atom_site_fract_z
Al1 Al 0.000 0.000 0.000
Ga1 Ga 0.000 0.500 0.250
Cu1 Cu 0.000 0.000 0.401

---

Number 1: density of states at the Fermi level 5.900 states/eV/f.u.. Number 2: density of states at the Fermi level 2.427 states/eV/f.u.. Number 3: density of states at the Fermi level 1.071 states/eV/f.u.. Number 4: density of states at the Fermi level 1.643 states/eV/f.u.. Number 5: density of states at the Fermi level 1.811 states/eV/f.u.. Number 6: density of states at the Fermi level 2.381 states/eV/f.u.. Number 7: density of states at the Fermi level 3.392 states/eV/f.u.. Number 8: density of states at the Fermi level 1.327 states/eV/f.u.. Number 9: density of states at the Fermi level 1.466 states/eV/f.u.. Number 10: density of states at the Fermi level 1.810 states/eV/f.u.. Number 11: density of states at the Fermi level 1.563 states/eV/f.u.. Number 12: density of states at the Fermi level 2.042 states/eV/f.u..